# PBE CeDyI4, optimized geometry
# * total magnetic moment: 1.8 μB per formula unit
# * raw total energy: -24.01 eV/cell
data_CeDyI4
_cell_length_a 7.338
_cell_length_b 4.181
_cell_length_c 8.358
_cell_angle_alpha 90.00
_cell_angle_beta 105.77
_cell_angle_gamma 90.00
_space_group_name_H-M_alt 'P 1 2/m 1'
_space_group_IT_number 10
loop_
_space_group_symop_operation_xyz
'x,y,z'
'-x,-y,-z'
'-x,y,-z'
'x,-y,z'
loop_
_atom_site_label
_atom_site_type_symbol
_atom_site_fract_x
_atom_site_fract_y
_atom_site_fract_z
Ce1 Ce 0.000 0.000 0.000
Dy1 Dy 0.500 0.500 0.000
I1 I 0.258 0.500 0.253
I2 I 0.267 0.000 0.755